A plane-wave DFT calculation with PBE+U was carried out for LaTiCo2O after structural relaxation.

Cell lengths 4.037, 6.683, 4.037 Å; angles 90.00, 90.00, 90.00 degrees
Each line ends with the local moment (μB).
Positions (direct):
La: 0.000 0.500 0.000  0.00
Ti: 0.000 0.000 0.000  -0.38
Co: 0.500 0.000 0.000  1.13
Co: 0.000 0.000 0.500  1.19
O: 0.500 0.500 0.500  -0.04

Results
**Magnetization**: 1.92 μB per cell
**Energy**: -5.0111 eV/atom
**Crystal system**: tetragonal